Compound: YB3C
Source: the Alexandria database
Functional: GGA-PBE
Structure: optimized geometry

Unit cell a=3.9827 b=7.1904 c=3.7006 alpha=90.00 beta=90.00 gamma=90.00
With the nearest neighbours (Å) after each atom.
Atoms (fractional coordinates):
Y 0.5944 0.3308 0.7008  4 B 2.47-2.50, 2 C 2.63
Y 0.0944 0.0220 0.2008  4 B 2.47-2.50, 2 C 2.63
B 0.2381 0.4441 0.2008  2 B 1.72, 1 C 1.82
B 0.4680 0.7744 0.9506  2 C 1.70-1.71, 3 B 1.72-1.85
B 0.9680 0.5784 0.4505  2 C 1.70-1.71, 3 B 1.72-1.85
B 0.7381 0.9087 0.7008  2 B 1.72, 1 C 1.82
B 0.9680 0.5784 0.9510  2 C 1.70-1.71, 3 B 1.72-1.85
B 0.4680 0.7744 0.4510  2 C 1.70-1.71, 3 B 1.72-1.85
C 0.1095 0.7622 0.7008  5 B 1.70-1.82
C 0.6096 0.5906 0.2008  5 B 1.70-1.82

Properties
E_form, eV/atom: 0.111
Symmetry: Pmn2_1 (31)
Calculated total energy, eV/atom: -7.033
M_tot, μB/f.u.: 0.00